This record from Alexandria describes KMo2Ir after structural relaxation. The functional is PBE.

size of the total moment	0.00	μB/f.u.
polymorph energy (0 for the lowest one)	64	meV per atom
ΔE_f	64	kJ/mol of atoms

abc: 3.817 2.757 8.693
angles: 73.86 90.00 90.00
Atoms (fractional coordinates):
Ir (0.000, 0.577, 0.412)
K (0.500, 0.804, 0.729)
Mo (0.000, 0.935, 0.088)
Mo (0.500, 0.184, 0.271)

=====

This record from Alexandria describes K2MoIr after structural relaxation. The functional is PBE.

size of the total moment	0.00	μB/f.u.
polymorph energy (0 for the lowest one)	515	meV per atom
ΔE_f	106	kJ/mol of atoms

abc: 6.429 6.429 6.429
angles: 145.40 145.40 49.74
Atoms (fractional coordinates):
Ir (0.750, 0.250, 0.500)
K (0.000, 0.000, 0.000)
K (0.500, 0.500, 0.000)
Mo (0.250, 0.750, 0.500)